[1]
VASP calculation (PBE) on crystalline LiPmTh2As4 at its relaxed geometry.

The formation energy is -1.18 eV per atom.

Unit cell a=4.281 b=7.231 c=7.370 alpha=70.35 beta=90.00 gamma=90.00
Fractional coordinates of all 8 atoms:
Th 0.500 0.000 0.500
Th 0.000 0.000 0.000
As 0.000 0.750 0.747
As 0.000 0.250 0.253
As 0.500 0.756 0.248
As 0.500 0.244 0.752
Pm 0.500 0.500 0.000
Li 0.000 0.500 0.500

***

[2]
VASP calculation (PBE) on crystalline HfTi2BSb at its relaxed geometry.

The formation energy from raw total energies is -412 meV per atom.

Unit cell a=4.300 b=4.300 c=4.646 alpha=90.00 beta=90.00 gamma=90.00
Fractional coordinates of all 5 atoms:
Sb 0.500 0.500 0.500
Ti 0.000 0.500 0.000
Ti 0.500 0.000 0.000
Hf 0.000 0.000 0.500
B 0.000 0.000 0.000